First-principles (PBE) data for an optimized crystal structure of InPtAu, as listed in the Alexandria database.

The structure in POSCAR format:
```
InPtAu
1.0
5.813 0.000 0.000
0.000 4.721 0.000
0.000 0.000 9.463
In Pt Au
4 4 4
Cartesian
0.000 0.030 0.000
0.000 4.691 4.731
2.906 2.332 2.395
2.906 2.389 7.126
1.453 2.328 4.750
1.453 2.393 0.019
4.360 2.328 4.750
4.360 2.393 0.019
0.000 2.212 7.118
0.000 2.509 2.386
2.906 0.028 0.283
2.906 4.693 5.014
```

Calculated values
total moment	0.00	μB per formula unit
calculated total energy	-4.322	eV/atom
energy relative to the elements	-29.2	kJ per mole of atoms
theoretical density	12.965	g cm⁻³

=====

First-principles (PBE) data for an optimized crystal structure of InPt2Au6, as listed in the Alexandria database.

The structure in POSCAR format:
```
InPt2Au6
1.0
5.194 -5.064 0.000
5.194 5.064 0.000
-4.499 0.000 6.178
In Pt Au
2 4 12
Cartesian
1.820 3.513 4.634
4.069 -3.513 1.545
0.771 1.195 3.549
3.020 -1.195 0.460
2.869 1.195 5.718
5.119 -1.195 2.629
2.691 3.948 1.901
1.742 1.357 0.865
5.448 3.948 1.188
4.529 1.242 0.144
-0.507 -1.357 3.954
3.610 1.242 2.945
2.279 -1.242 3.233
6.396 1.357 2.224
1.361 -1.242 6.034
0.441 -3.948 4.990
4.147 -1.357 5.314
3.199 -3.948 4.277
```

Calculated values
total moment	0.00	μB per formula unit
calculated total energy	-3.873	eV/atom
energy relative to the elements	-4.0	kJ per mole of atoms
theoretical density	17.237	g cm⁻³

=====

First-principles (PBE) data for an optimized crystal structure of In2PtAu2, as listed in the Alexandria database.

The structure in POSCAR format:
```
In2PtAu2
1.0
7.350 0.000 0.000
0.000 7.350 0.000
0.000 0.000 3.811
In Pt Au
4 2 4
Cartesian
1.205 2.470 0.000
2.470 6.145 0.000
4.880 1.205 0.000
6.145 4.880 0.000
0.000 0.000 0.000
3.675 3.675 0.000
1.005 4.680 1.905
2.670 1.005 1.905
4.680 6.344 1.905
6.344 2.670 1.905
```

Calculated values
total moment	0.00	μB per formula unit
calculated total energy	-3.644	eV/atom
energy relative to the elements	-2.8	kJ per mole of atoms
theoretical density	13.207	g cm⁻³

=====

First-principles (PBE) data for an optimized crystal structure of InPt3Au, as listed in the Alexandria database.

The structure in POSCAR format:
```
InPt3Au
1.0
4.924 0.000 0.000
0.000 4.924 0.000
0.000 0.000 4.924
In Pt Au
1 3 1
Cartesian
0.000 0.000 0.000
0.000 0.000 2.462
0.000 2.462 0.000
2.462 0.000 0.000
2.462 2.462 2.462
```

Calculated values
total moment	0.00	μB per formula unit
calculated total energy	-3.675	eV/atom
energy relative to the elements	111.2	kJ per mole of atoms
theoretical density	12.477	g cm⁻³

=====

First-principles (PBE) data for an optimized crystal structure of In2PtAu2, as listed in the Alexandria database.

The structure in POSCAR format:
```
In2PtAu2
1.0
7.331 0.000 0.000
0.000 7.331 0.000
0.000 0.000 3.749
In Pt Au
4 2 4
Cartesian
1.236 2.429 0.000
2.429 6.094 0.000
4.902 1.236 0.000
6.094 4.902 0.000
0.000 0.000 1.875
3.665 3.665 1.875
1.012 4.678 1.875
2.653 1.012 1.875
4.678 6.318 1.875
6.318 2.653 1.875
```

Calculated values
total moment	0.00	μB per formula unit
calculated total energy	-3.674	eV/atom
energy relative to the elements	-5.7	kJ per mole of atoms
theoretical density	13.494	g cm⁻³

=====

First-principles (PBE) data for an optimized crystal structure of InPt4Au, as listed in the Alexandria database.

The structure in POSCAR format:
```
InPt4Au
1.0
4.916 0.000 0.000
0.000 5.775 0.000
-0.271 0.000 7.053
In Pt Au
2 8 2
Cartesian
0.793 1.444 2.352
3.852 4.331 4.701
0.000 0.000 0.000
0.000 2.888 0.000
1.418 0.003 4.749
1.418 2.885 4.749
2.180 1.444 7.047
2.466 4.331 0.006
3.227 5.772 2.303
3.227 2.890 2.303
0.778 4.331 2.375
3.868 1.444 4.678
```

Calculated values
total moment	0.00	μB per formula unit
calculated total energy	-5.238	eV/atom
energy relative to the elements	-20.0	kJ per mole of atoms
theoretical density	18.113	g cm⁻³

=====

First-principles (PBE) data for an optimized crystal structure of InPtAu, as listed in the Alexandria database.

The structure in POSCAR format:
```
InPtAu
1.0
-1.787 1.787 4.330
1.787 -1.787 4.330
1.787 1.787 -4.330
In Pt Au
1 1 1
Cartesian
0.000 0.000 0.000
0.000 0.000 5.711
0.000 0.000 2.855
```

Calculated values
total moment	0.00	μB per formula unit
calculated total energy	-4.219	eV/atom
energy relative to the elements	-19.3	kJ per mole of atoms
theoretical density	15.214	g cm⁻³

=====

First-principles (PBE) data for an optimized crystal structure of In4PtAu2, as listed in the Alexandria database.

The structure in POSCAR format:
```
In4PtAu2
1.0
4.004 0.000 0.000
-0.390 6.667 0.000
-1.802 -3.323 6.054
In Pt Au
4 1 2
Cartesian
0.027 0.879 1.263
0.016 -1.268 4.673
1.796 4.612 1.382
1.785 2.465 4.792
-0.195 3.334 0.000
-0.221 3.217 2.936
2.033 0.127 3.119
```

Calculated values
total moment	0.00	μB per formula unit
calculated total energy	-3.621	eV/atom
energy relative to the elements	-24.8	kJ per mole of atoms
theoretical density	10.770	g cm⁻³

=====

First-principles (PBE) data for an optimized crystal structure of InPtAu, as listed in the Alexandria database.

The structure in POSCAR format:
```
InPtAu
1.0
4.584 0.000 0.000
-2.292 3.970 0.000
0.000 0.000 3.029
In Pt Au
1 1 1
Cartesian
0.000 0.000 0.000
2.292 1.323 0.764
0.000 2.646 1.978
```

Calculated values
total moment	0.00	μB per formula unit
calculated total energy	-4.184	eV/atom
energy relative to the elements	-16.0	kJ per mole of atoms
theoretical density	15.271	g cm⁻³

=====

First-principles (PBE) data for an optimized crystal structure of In2Pt3Au, as listed in the Alexandria database.

The structure in POSCAR format:
```
In2Pt3Au
1.0
0.000 5.461 8.320
5.334 0.000 8.320
5.334 5.461 0.000
In Pt Au
8 12 4
Cartesian
5.347 2.650 7.966
8.014 5.381 8.675
2.654 2.650 4.515
5.347 5.541 4.515
5.321 5.381 12.126
8.014 8.272 12.126
2.654 5.541 7.966
5.321 8.272 8.675
5.334 2.731 4.160
7.061 4.096 6.240
4.001 4.096 2.245
9.728 6.826 10.401
6.668 6.826 6.406
2.667 5.461 4.160
2.667 2.731 8.320
5.334 5.461 8.320
4.001 4.096 10.235
0.940 4.096 6.240
6.668 6.826 14.396
3.607 6.826 10.401
4.001 0.393 6.240
6.668 3.123 10.401
4.001 7.799 6.240
6.668 10.530 10.401
```

Calculated values
total moment	0.00	μB per formula unit
calculated total energy	-4.706	eV/atom
energy relative to the elements	-21.8	kJ per mole of atoms
theoretical density	13.864	g cm⁻³

=====

First-principles (PBE) data for an optimized crystal structure of In2PtAu, as listed in the Alexandria database.

The structure in POSCAR format:
```
In2PtAu
1.0
3.339 0.000 0.000
0.000 3.509 0.000
-0.050 0.000 6.645
In Pt Au
2 1 1
Cartesian
-0.009 0.000 1.580
3.297 0.000 5.065
1.670 1.754 0.000
1.644 1.754 3.323
```

Calculated values
total moment	0.00	μB per formula unit
calculated total energy	-3.925	eV/atom
energy relative to the elements	-21.9	kJ per mole of atoms
theoretical density	13.259	g cm⁻³

=====

First-principles (PBE) data for an optimized crystal structure of InPt3Au, as listed in the Alexandria database.

The structure in POSCAR format:
```
InPt3Au
1.0
4.973 0.000 0.000
0.000 4.973 0.000
0.000 0.000 4.973
In Pt Au
1 3 1
Cartesian
0.000 0.000 0.000
0.000 2.486 2.486
2.486 0.000 2.486
2.486 2.486 0.000
2.486 2.486 2.486
```

Calculated values
total moment	0.00	μB per formula unit
calculated total energy	-3.771	eV/atom
energy relative to the elements	102.0	kJ per mole of atoms
theoretical density	12.114	g cm⁻³

=====

First-principles (PBE) data for an optimized crystal structure of In6PtAu12, as listed in the Alexandria database.

The structure in POSCAR format:
```
In6PtAu12
1.0
5.235 3.023 4.209
-5.235 3.023 4.209
0.000 -6.045 4.209
In Pt Au
6 1 12
Cartesian
-2.149 0.875 4.907
0.316 -2.298 4.907
-1.832 -1.423 7.721
1.832 1.423 4.907
-0.316 2.298 7.721
2.149 -0.875 7.721
0.000 0.000 6.314
-1.697 -1.426 3.132
-4.949 1.292 5.397
-3.593 -3.640 7.231
1.355 -4.932 5.397
-0.387 2.183 3.132
2.084 -0.757 3.132
-2.084 0.757 9.496
0.387 -2.183 9.496
-1.355 4.932 7.231
3.593 3.640 5.397
4.949 -1.292 7.231
1.697 1.426 9.496
```

Calculated values
total moment	0.00	μB per formula unit
calculated total energy	-3.378	eV/atom
energy relative to the elements	-12.1	kJ per mole of atoms
theoretical density	13.494	g cm⁻³

=====

First-principles (PBE) data for an optimized crystal structure of In2PtAu, as listed in the Alexandria database.

The structure in POSCAR format:
```
In2PtAu
1.0
6.243 0.000 0.000
0.000 1.890 7.002
0.000 -1.890 7.002
In Pt Au
4 2 2
Cartesian
0.000 0.000 0.000
0.000 0.000 3.319
3.121 0.000 2.665
3.121 0.000 6.430
1.416 0.000 8.625
4.827 0.000 8.625
1.667 0.000 11.713
4.576 0.000 11.713
```

Calculated values
total moment	0.00	μB per formula unit
calculated total energy	-4.004	eV/atom
energy relative to the elements	-29.5	kJ per mole of atoms
theoretical density	12.497	g cm⁻³

=====

First-principles (PBE) data for an optimized crystal structure of In4PtAu, as listed in the Alexandria database.

The structure in POSCAR format:
```
In4PtAu
1.0
4.619 0.000 0.000
0.000 4.619 0.000
0.000 0.000 6.593
In Pt Au
4 1 1
Cartesian
0.000 2.310 1.597
0.000 2.310 4.995
2.310 0.000 1.597
2.310 0.000 4.995
0.000 0.000 0.000
2.310 2.310 3.296
```

Calculated values
total moment	0.00	μB per formula unit
calculated total energy	-3.741	eV/atom
energy relative to the elements	-34.9	kJ per mole of atoms
theoretical density	10.050	g cm⁻³

=====

First-principles (PBE) data for an optimized crystal structure of In2PtAu, as listed in the Alexandria database.

The structure in POSCAR format:
```
In2PtAu
1.0
3.460 -1.996 0.000
3.460 1.996 0.000
-2.158 0.000 6.435
In Pt Au
2 1 1
Cartesian
1.176 0.000 1.501
3.587 0.000 4.934
3.460 0.000 0.000
-1.079 0.000 3.218
```

Calculated values
total moment	0.00	μB per formula unit
calculated total energy	-3.916	eV/atom
energy relative to the elements	-20.9	kJ per mole of atoms
theoretical density	11.614	g cm⁻³

=====

First-principles (PBE) data for an optimized crystal structure of In2PtAu, as listed in the Alexandria database.

The structure in POSCAR format:
```
In2PtAu
1.0
-2.084 2.084 4.426
2.084 -2.084 4.426
2.084 2.084 -4.426
In Pt Au
2 1 1
Cartesian
0.000 0.000 0.000
0.000 2.084 2.213
2.084 0.000 2.213
0.000 0.000 4.426
```

Calculated values
total moment	0.00	μB per formula unit
calculated total energy	-3.888	eV/atom
energy relative to the elements	-18.3	kJ per mole of atoms
theoretical density	13.424	g cm⁻³

=====

First-principles (PBE) data for an optimized crystal structure of In2PtAu, as listed in the Alexandria database.

The structure in POSCAR format:
```
In2PtAu
1.0
6.488 -1.542 0.000
6.488 1.542 0.000
-1.500 0.000 4.178
In Pt Au
2 1 1
Cartesian
0.000 0.000 0.000
1.922 0.000 3.055
8.685 0.000 0.793
4.663 0.000 1.699
```

Calculated values
total moment	0.00	μB per formula unit
calculated total energy	-3.973	eV/atom
energy relative to the elements	-26.4	kJ per mole of atoms
theoretical density	12.352	g cm⁻³

=====

First-principles (PBE) data for an optimized crystal structure of InPtAu4, as listed in the Alexandria database.

The structure in POSCAR format:
```
InPtAu4
1.0
0.000 3.883 3.883
3.883 0.000 3.883
3.883 3.883 0.000
In Pt Au
1 1 4
Cartesian
0.000 0.000 0.000
5.825 5.825 5.825
2.913 2.913 2.913
4.853 4.853 2.913
4.853 2.913 4.853
2.913 4.853 4.853
```

Calculated values
total moment	0.00	μB per formula unit
calculated total energy	-3.504	eV/atom
energy relative to the elements	13.9	kJ per mole of atoms
theoretical density	15.564	g cm⁻³

=====

First-principles (PBE) data for an optimized crystal structure of In2PtAu3, as listed in the Alexandria database.

The structure in POSCAR format:
```
In2PtAu3
1.0
3.525 0.000 0.000
1.749 6.711 0.000
0.056 3.446 10.075
In Pt Au
4 2 6
Cartesian
0.875 3.733 1.740
2.638 6.902 1.400
2.692 3.255 8.675
4.454 6.424 8.335
2.689 8.165 9.828
2.641 1.992 0.247
0.912 4.036 6.507
0.908 1.680 3.841
2.668 6.246 5.979
2.661 3.911 4.096
4.421 8.477 6.233
4.417 6.121 3.568
```

Calculated values
total moment	0.00	μB per formula unit
calculated total energy	-3.750	eV/atom
energy relative to the elements	-18.5	kJ per mole of atoms
theoretical density	14.154	g cm⁻³